Version A
The following is a GGA-PBE calculation of KSr3Cl after structural relaxation, from Alexandria via LeMat-Bulk.

abc: 6.327 6.327 6.327
angles: 90.00 90.00 90.00
Positions (direct):
K  0.000  0.000  0.000
Sr  0.000  0.500  0.500
Sr  0.500  0.000  0.500
Sr  0.500  0.500  0.000
Cl  0.500  0.500  0.500

Summary:
The value obtained for the total magnetization is 0.00 μB/f.u.

=====

Version B
The following is a GGA-PBE calculation of KSr3Cl after structural relaxation, from Alexandria via LeMat-Bulk.

abc: 7.334 7.334 7.334
angles: 90.00 90.00 90.00
Positions (direct):
K  0.000  0.000  0.000
Sr  0.000  0.000  0.500
Sr  0.000  0.500  0.000
Sr  0.500  0.000  0.000
Cl  0.500  0.500  0.500

Summary:
The value obtained for the total magnetization is 0.00 μB/f.u.

=====

version A is favored, and the nearest alternative lies 843 meV per atom above it.

=====

Version A
The following is a GGA-PBE calculation of K2TaCl after structural relaxation, from Alexandria via LeMat-Bulk.

abc: 6.804 6.804 6.469
angles: 113.06 113.06 27.00
Positions (direct):
K  0.000  0.000  0.000
K  0.182  0.182  0.648
Ta  0.391  0.391  0.407
Cl  0.745  0.745  0.140

Summary:
The value obtained for the total magnetization is 2.08 μB/f.u.

=====

Version B
The following is a GGA-PBE calculation of K2TaCl after structural relaxation, from Alexandria via LeMat-Bulk.

abc: 7.281 7.281 7.281
angles: 152.26 110.53 76.36
Positions (direct):
K  0.202  0.202  0.000
K  0.798  0.798  0.000
Ta  0.500  0.000  0.500
Cl  0.000  0.500  0.500

Summary:
The value obtained for the total magnetization is 4.23 μB/f.u.

=====

Version C
The following is a GGA-PBE calculation of K2TaCl after structural relaxation, from Alexandria via LeMat-Bulk.

abc: 5.968 5.968 5.968
angles: 60.00 60.00 60.00
Positions (direct):
K  0.250  0.250  0.250
K  0.750  0.750  0.750
Ta  0.000  0.000  0.000
Cl  0.500  0.500  0.500

Summary:
The value obtained for the total magnetization is 4.00 μB/f.u.

=====

version A is favored, and the nearest alternative lies 254 meV per atom above it.

=====

Version A
The following is a GGA-PBE calculation of K2TaCl after structural relaxation, from Alexandria via LeMat-Bulk.

abc: 9.015 9.015 9.015
angles: 94.07 94.07 149.11
Positions (direct):
K  0.375  0.214  0.339
K  0.786  0.125  0.161
K  0.875  0.036  0.661
K  0.964  0.625  0.839
Ta  0.250  0.750  0.500
Ta  0.500  0.500  0.000
Cl  0.000  0.000  0.000
Cl  0.750  0.250  0.500

Summary:
The value obtained for the total magnetization is 3.56 μB/f.u.

=====

Version B
The following is a GGA-PBE calculation of K2TaCl after structural relaxation, from Alexandria via LeMat-Bulk.

abc: 3.327 3.327 11.201
angles: 98.35 98.35 59.91
Positions (direct):
K  0.233  0.233  0.203
K  0.767  0.767  0.797
Ta  0.000  0.000  0.500
Cl  0.500  0.500  0.000

Summary:
The value obtained for the total magnetization is 0.43 μB/f.u.

=====

version B is favored, and the nearest alternative lies 433 meV per atom above it.

=====

Version A
The following is a GGA-PBE calculation of K2TaCl after structural relaxation, from Alexandria via LeMat-Bulk.

abc: 5.869 5.869 5.869
angles: 60.00 60.00 60.00
Positions (direct):
K  0.000  0.000  0.000
K  0.250  0.250  0.250
Ta  0.750  0.750  0.750
Cl  0.500  0.500  0.500

Summary:
The value obtained for the total magnetization is 3.98 μB/f.u.

=====

Version B
The following is a GGA-PBE calculation of K2TaCl after structural relaxation, from Alexandria via LeMat-Bulk.

abc: 3.214 3.214 10.449
angles: 90.00 90.00 91.40
Positions (direct):
K  0.000  0.000  0.198
K  0.000  0.000  0.802
Ta  0.500  0.500  0.500
Cl  0.500  0.500  0.000

Summary:
The value obtained for the total magnetization is 1.17 μB/f.u.

=====

version B is favored, and the nearest alternative lies 805 meV per atom above it.

=====

Version A
The following is a GGA-PBE calculation of KTa2Cl after structural relaxation, from Alexandria via LeMat-Bulk.

abc: 2.786 5.371 7.320
angles: 90.00 90.00 90.00
Positions (direct):
K  0.000  0.000  0.000
Ta  0.500  0.248  0.500
Ta  0.500  0.752  0.500
Cl  0.000  0.500  0.000

Summary:
The value obtained for the total magnetization is 0.00 μB/f.u.

=====

Version B
The following is a GGA-PBE calculation of KTa2Cl after structural relaxation, from Alexandria via LeMat-Bulk.

abc: 3.295 3.295 9.102
angles: 90.00 90.00 90.00
Positions (direct):
K  0.000  0.000  0.000
Ta  0.000  0.000  0.521
Ta  0.500  0.500  0.363
Cl  0.500  0.500  0.783

Summary:
The value obtained for the total magnetization is 0.00 μB/f.u.

=====

version B is favored, and the nearest alternative lies 842 meV per atom above it.

=====

Version A
The following is a GGA-PBE calculation of KTa2Cl after structural relaxation, from Alexandria via LeMat-Bulk.

abc: 4.944 4.944 4.944
angles: 60.00 60.00 60.00
Positions (direct):
K  0.000  0.000  0.000
Ta  0.250  0.250  0.250
Ta  0.750  0.750  0.750
Cl  0.500  0.500  0.500

Summary:
The value obtained for the total magnetization is 1.70 μB/f.u.

=====

Version B
The following is a GGA-PBE calculation of KTa2Cl after structural relaxation, from Alexandria via LeMat-Bulk.

abc: 8.208 8.208 8.208
angles: 152.81 152.81 38.83
Positions (direct):
K  0.000  0.000  0.000
Ta  0.250  0.750  0.500
Ta  0.750  0.250  0.500
Cl  0.500  0.500  0.000

Summary:
The value obtained for the total magnetization is 0.00 μB/f.u.

=====

version B is favored, and the nearest alternative lies 1415 meV per atom above it.

=====

Version A
The following is a GGA-PBE calculation of KTa2Cl after structural relaxation, from Alexandria via LeMat-Bulk.

abc: 14.745 14.745 14.745
angles: 164.93 164.93 21.37
Positions (direct):
K  0.000  0.000  0.000
K  0.750  0.250  0.500
Ta  0.124  0.625  0.999
Ta  0.375  0.374  0.499
Ta  0.626  0.125  0.001
Ta  0.875  0.876  0.501
Cl  0.250  0.750  0.500
Cl  0.500  0.500  0.000

Summary:
The value obtained for the total magnetization is 0.00 μB/f.u.

=====

Version B
The following is a GGA-PBE calculation of KTa2Cl after structural relaxation, from Alexandria via LeMat-Bulk.

abc: 6.849 6.849 6.849
angles: 155.15 139.15 48.41
Positions (direct):
K  0.000  0.000  0.000
Ta  0.285  0.785  0.500
Ta  0.715  0.215  0.500
Cl  0.500  0.500  0.000

Summary:
The value obtained for the total magnetization is 0.00 μB/f.u.

=====

version B is favored, and the nearest alternative lies 310 meV per atom above it.